24
Lattice="-5.2665 1.5131 2.6206 1.5545 -6.2647 6.7413 3.0179 8.7752 0.9981" Properties=species:S:1:pos:R:3 comment="Dy3MnAlS7 PBEsol optimized geometry" spacegroup="P6_3 (173)" dft_energy_ev_per_atom=-6.5917 n_ef_per_ev_atom=0.2159 raw_formation_energy_ev_per_atom=-1.635 magmom_total_mub_per_atom=0.08 pbc="T T T"
S -1.5041 -2.0304 5.1616
S -3.1357 0.2363 7.4035
S -0.2962 -0.2569 2.0615
S -0.0147 4.4931 4.1788
S 0.3585 4.0633 7.9221
S 0.8358 -4.2945 6.6678
S -0.7734 8.1008 3.3158
S -3.5512 5.5795 3.6927
S -0.4824 1.3423 5.2673
S -2.7098 2.2003 2.8314
S 0.2441 -0.8051 7.9675
S -2.8246 3.4321 6.3928
S -1.8030 6.8048 6.4985
S 2.7721 1.6061 7.1522
Dy -3.0051 0.2463 4.7191
Dy -2.1335 -2.2097 7.8888
Dy 0.0179 2.3731 2.5272
Dy -0.9679 1.7241 7.9601
Dy 1.1836 6.3068 2.5985
Dy 2.0552 3.8509 5.7682
Mn -4.9049 1.4093 2.4407
Mn -2.2717 0.6527 1.1304
Al 0.2108 -0.7252 5.7382
Al -1.9346 5.0447 5.1341